# 1
Material: BeZn2Ni5
Method: DFT, GGA-PBE
State: relaxed

abc: 3.9092 3.9092 11.5904
angles: 90.00 90.00 90.00
Closest atoms and distances in Å follow each position.
Fractional positions:
Be (0.0000, 0.0000, 0.0000)  8 Ni 2.36
Be (0.5000, 0.5000, 0.5000)  8 Ni 2.36
Zn (0.0000, 0.0000, 0.2508)  8 Ni 2.50-2.51, 4 Zn 2.76
Zn (0.0000, 0.0000, 0.7492)  8 Ni 2.50-2.51, 4 Zn 2.76
Zn (0.5000, 0.5000, 0.2492)  8 Ni 2.50-2.51, 4 Zn 2.76
Zn (0.5000, 0.5000, 0.7508)  8 Ni 2.50-2.51, 4 Zn 2.76
Ni (0.0000, 0.0000, 0.5000)  8 Ni 2.36
Ni (0.0000, 0.5000, 0.1146)  2 Ni 2.36, 2 Be 2.36, 4 Zn 2.50-2.51
Ni (0.0000, 0.5000, 0.3854)  2 Be 2.36, 2 Ni 2.36, 4 Zn 2.50-2.51
Ni (0.0000, 0.5000, 0.6146)  2 Be 2.36, 2 Ni 2.36, 4 Zn 2.50-2.51
Ni (0.0000, 0.5000, 0.8854)  2 Ni 2.36, 2 Be 2.36, 4 Zn 2.50-2.51
Ni (0.5000, 0.0000, 0.1146)  2 Ni 2.36, 2 Be 2.36, 4 Zn 2.50-2.51
Ni (0.5000, 0.0000, 0.3854)  2 Be 2.36, 2 Ni 2.36, 4 Zn 2.50-2.51
Ni (0.5000, 0.0000, 0.6146)  2 Be 2.36, 2 Ni 2.36, 4 Zn 2.50-2.51
Ni (0.5000, 0.0000, 0.8854)  2 Ni 2.36, 2 Be 2.36, 4 Zn 2.50-2.51
Ni (0.5000, 0.5000, 0.0000)  8 Ni 2.36

Computed properties:
space-group type = No. 139



# 2
Material: BeZnNi4
Method: DFT, GGA-PBE
State: relaxed

abc: 4.6369 4.6369 4.6369
angles: 60.00 60.00 60.00
Closest atoms and distances in Å follow each position.
Fractional positions:
Be (0.0000, 0.0000, 0.0000)  12 Ni 2.72, 4 Zn 2.84
Zn (0.2500, 0.2500, 0.2500)  12 Ni 2.72, 4 Be 2.84
Ni (0.1243, 0.6252, 0.6252)  6 Ni 2.31-2.32
Ni (0.6252, 0.1243, 0.6252)  6 Ni 2.31-2.32
Ni (0.6252, 0.6252, 0.1243)  6 Ni 2.31-2.32
Ni (0.6252, 0.6252, 0.6252)  6 Ni 2.31-2.32

Computed properties:
space-group type = No. 216
relative energy among the computed polymorphs = 320.1 meV per atom



# 3
Material: BeZnNi2
Method: DFT, GGA-PBE
State: relaxed

abc: 2.5444 2.5444 23.1550
angles: 90.00 90.00 120.00
Closest atoms and distances in Å follow each position.
Fractional positions:
Be (0.0000, 0.0000, 0.0000)  6 Ni 2.26
Be (0.3333, 0.6667, 0.6667)  6 Ni 2.26
Be (0.6667, 0.3333, 0.3333)  6 Ni 2.26
Zn (0.0000, 0.0000, 0.5000)  6 Zn 2.54, 6 Ni 2.60
Zn (0.3333, 0.6667, 0.1667)  6 Zn 2.54, 6 Ni 2.60
Zn (0.6667, 0.3333, 0.8333)  6 Zn 2.54, 6 Ni 2.60
Ni (0.0000, 0.0000, 0.2592)  3 Be 2.26
Ni (0.0000, 0.0000, 0.7408)  3 Be 2.26
Ni (0.3333, 0.6667, 0.4075)  3 Be 2.26
Ni (0.3333, 0.6667, 0.9259)  3 Be 2.26
Ni (0.6667, 0.3333, 0.0741)  3 Be 2.26
Ni (0.6667, 0.3333, 0.5925)  3 Be 2.26

Computed properties:
space-group type = No. 166



# 4
Material: Be5ZnNi4
Method: DFT, GGA-PBE
State: relaxed

abc: 2.6455 2.6455 13.3604
angles: 90.00 90.00 90.00
Closest atoms and distances in Å follow each position.
Fractional positions:
Be (0.0000, 0.0000, 0.0000)  8 Ni 2.27
Be (0.0000, 0.0000, 0.1950)  8 Ni 2.26-2.29, 1 Be 2.51
Be (0.0000, 0.0000, 0.3827)  4 Ni 2.24, 4 Zn 2.44, 1 Be 2.51
Be (0.0000, 0.0000, 0.6173)  4 Ni 2.24, 4 Zn 2.44, 1 Be 2.51
Be (0.0000, 0.0000, 0.8050)  8 Ni 2.26-2.29, 1 Be 2.51
Zn (0.5000, 0.5000, 0.5000)  8 Be 2.44, 4 Zn 2.65
Ni (0.5000, 0.5000, 0.0966)  8 Be 2.27-2.29
Ni (0.5000, 0.5000, 0.2905)  8 Be 2.24-2.26
Ni (0.5000, 0.5000, 0.7095)  8 Be 2.24-2.26
Ni (0.5000, 0.5000, 0.9034)  8 Be 2.27-2.29

Computed properties:
space-group type = No. 123



# 5
Material: Be2ZnNi
Method: DFT, GGA-PBE
State: relaxed

abc: 2.4977 2.4977 23.4657
angles: 90.00 90.00 120.00
Closest atoms and distances in Å follow each position.
Fractional positions:
Be (0.0000, 0.0000, 0.0000)  3 Ni 2.24, 9 Be 2.32-2.50
Be (0.0000, 0.0000, 0.2558)  9 Be 2.32-2.50, 3 Zn 2.56
Be (0.3333, 0.6667, 0.6667)  3 Ni 2.24, 9 Be 2.32-2.50
Be (0.3333, 0.6667, 0.9225)  9 Be 2.32-2.50, 3 Zn 2.56
Be (0.6667, 0.3333, 0.3333)  3 Ni 2.24, 9 Be 2.32-2.50
Be (0.6667, 0.3333, 0.5892)  9 Be 2.32-2.50, 3 Zn 2.56
Zn (0.0000, 0.0000, 0.4988)  6 Zn 2.50, 3 Be 2.56, 3 Ni 2.60
Zn (0.3333, 0.6667, 0.1655)  6 Zn 2.50, 3 Be 2.56, 3 Ni 2.60
Zn (0.6667, 0.3333, 0.8321)  6 Zn 2.50, 3 Be 2.56, 3 Ni 2.60
Ni (0.0000, 0.0000, 0.7400)  3 Be 2.24, 6 Ni 2.50
Ni (0.3333, 0.6667, 0.4066)  3 Be 2.24, 6 Ni 2.50
Ni (0.6667, 0.3333, 0.0733)  3 Be 2.24, 6 Ni 2.50

Computed properties:
space-group type = No. 160



# 6
Material: BeZnNi
Method: DFT, GGA-PBE
State: relaxed

abc: 6.8843 3.7878 5.0655
angles: 90.00 93.77 90.00
Closest atoms and distances in Å follow each position.
Fractional positions:
Be (0.1633, 0.0000, 0.0580)  3 Be 2.29-2.33, 3 Ni 2.40-2.41, 1 Zn 2.40
Be (0.3367, 0.5000, 0.9420)  3 Be 2.29-2.33, 3 Ni 2.40-2.41, 1 Zn 2.40
Be (0.6633, 0.5000, 0.0580)  3 Be 2.29-2.33, 3 Ni 2.40-2.41, 1 Zn 2.40
Be (0.8367, 0.0000, 0.9420)  3 Be 2.29-2.33, 3 Ni 2.40-2.41, 1 Zn 2.40
Zn (0.1670, 0.0000, 0.5839)  3 Zn 2.40, 2 Be 2.40-2.66, 3 Ni 2.43-2.44
Zn (0.3330, 0.5000, 0.4161)  3 Zn 2.40, 2 Be 2.40-2.66, 3 Ni 2.43-2.44
Zn (0.6670, 0.5000, 0.5839)  3 Zn 2.40, 2 Be 2.40-2.66, 3 Ni 2.43-2.44
Zn (0.8330, 0.0000, 0.4161)  3 Zn 2.40, 2 Be 2.40-2.66, 3 Ni 2.43-2.44
Ni (0.0030, 0.5000, 0.7700)  1 Ni 2.33, 5 Be 2.40-2.59, 3 Zn 2.43-2.44
Ni (0.4970, 0.0000, 0.2300)  1 Ni 2.33, 5 Be 2.40-2.59, 3 Zn 2.43-2.44
Ni (0.5030, 0.0000, 0.7700)  1 Ni 2.33, 5 Be 2.40-2.59, 3 Zn 2.43-2.44
Ni (0.9970, 0.5000, 0.2300)  1 Ni 2.33, 5 Be 2.40-2.59, 3 Zn 2.43-2.44

Computed properties:
space-group type = No. 12
relative energy among the computed polymorphs = 99.7 meV per atom



# 7
Material: Be4ZnNi
Method: DFT, GGA-PBE
State: relaxed

abc: 4.2475 4.2475 4.2475
angles: 60.00 60.00 60.00
Closest atoms and distances in Å follow each position.
Fractional positions:
Be (0.1242, 0.1242, 0.1242)  6 Be 2.11-2.14
Be (0.1242, 0.1242, 0.6275)  6 Be 2.11-2.14
Be (0.1242, 0.6275, 0.1242)  6 Be 2.11-2.14
Be (0.6275, 0.1242, 0.1242)  6 Be 2.11-2.14
Zn (0.5000, 0.5000, 0.5000)  12 Be 2.49, 4 Ni 2.60
Ni (0.7500, 0.7500, 0.7500)  12 Be 2.49, 4 Zn 2.60

Computed properties:
space-group type = No. 216



# 8
Material: BeZnNi
Method: DFT, GGA-PBE
State: relaxed

abc: 2.7550 2.7550 8.5149
angles: 90.00 90.00 90.00
Closest atoms and distances in Å follow each position.
Fractional positions:
Be (0.0000, 0.0000, 0.0000)  4 Ni 2.22
Be (0.5000, 0.5000, 0.5000)  4 Ni 2.22
Zn (0.0000, 0.0000, 0.6832)  5 Be 2.50-2.70, 5 Ni 2.54-2.62, 4 Zn 2.75
Zn (0.5000, 0.5000, 0.1832)  5 Be 2.50-2.70, 5 Ni 2.54-2.62, 4 Zn 2.75
Ni (0.0000, 0.0000, 0.3751)  4 Be 2.22
Ni (0.5000, 0.5000, 0.8751)  4 Be 2.22

Computed properties:
space-group type = No. 107
relative energy among the computed polymorphs = 0.0 meV per atom



# 9
Material: BeZnNi2
Method: DFT, GGA-PBE
State: relaxed

abc: 8.7494 2.6364 4.0141
angles: 90.00 112.10 90.00
Closest atoms and distances in Å follow each position.
Fractional positions:
Be (0.0000, 0.0000, 0.0000)  6 Ni 2.25-2.46, 2 Zn 2.45
Be (0.5000, 0.5000, 0.0000)  6 Ni 2.25-2.46, 2 Zn 2.45
Zn (0.2529, 0.0000, 0.6719)  7 Ni 2.40-2.50, 2 Be 2.45, 2 Zn 2.64
Zn (0.7529, 0.5000, 0.6719)  7 Ni 2.40-2.50, 2 Be 2.45, 2 Zn 2.64
Ni (0.2236, 0.5000, 0.1453)  2 Be 2.25, 4 Zn 2.40-2.42
Ni (0.4914, 0.0000, 0.4762)  4 Be 2.35-2.46, 3 Zn 2.49-2.50, 2 Ni 2.58
Ni (0.7236, 0.0000, 0.1453)  2 Be 2.25, 4 Zn 2.40-2.42
Ni (0.9914, 0.5000, 0.4762)  4 Be 2.35-2.46, 3 Zn 2.49-2.50, 2 Ni 2.58

Computed properties:
space-group type = No. 8



# 10
Material: BeZnNi2
Method: DFT, GGA-PBE
State: relaxed

abc: 5.5465 5.5465 5.5465
angles: 90.00 90.00 90.00
Closest atoms and distances in Å follow each position.
Fractional positions:
Be (0.0000, 0.0000, 0.0000)  8 Ni 2.40
Be (0.0000, 0.5000, 0.5000)  8 Ni 2.40
Be (0.5000, 0.0000, 0.5000)  8 Ni 2.40
Be (0.5000, 0.5000, 0.0000)  8 Ni 2.40
Zn (0.0000, 0.0000, 0.5000)  8 Ni 2.40
Zn (0.0000, 0.5000, 0.0000)  8 Ni 2.40
Zn (0.5000, 0.0000, 0.0000)  8 Ni 2.40
Zn (0.5000, 0.5000, 0.5000)  8 Ni 2.40
Ni (0.2500, 0.2500, 0.2500)  4 Be 2.40, 4 Zn 2.40
Ni (0.2500, 0.2500, 0.7500)  4 Be 2.40, 4 Zn 2.40
Ni (0.2500, 0.7500, 0.2500)  4 Be 2.40, 4 Zn 2.40
Ni (0.2500, 0.7500, 0.7500)  4 Zn 2.40, 4 Be 2.40
Ni (0.7500, 0.2500, 0.2500)  4 Be 2.40, 4 Zn 2.40
Ni (0.7500, 0.2500, 0.7500)  4 Zn 2.40, 4 Be 2.40
Ni (0.7500, 0.7500, 0.2500)  4 Zn 2.40, 4 Be 2.40
Ni (0.7500, 0.7500, 0.7500)  4 Be 2.40, 4 Zn 2.40

Computed properties:
space-group type = No. 225



# 11
Material: BeZnNi2
Method: DFT, GGA-PBE
State: relaxed

abc: 2.6092 2.6092 6.1658
angles: 90.00 90.00 90.00
Closest atoms and distances in Å follow each position.
Fractional positions:
Be (0.0000, 0.0000, 0.0000)  8 Ni 2.27
Zn (0.0000, 0.0000, 0.5000)  8 Ni 2.56, 4 Zn 2.61
Ni (0.5000, 0.5000, 0.2132)  4 Be 2.27
Ni (0.5000, 0.5000, 0.7868)  4 Be 2.27

Computed properties:
space-group type = No. 123



# 12
Material: ZrBe3Ni3
Method: DFT, GGA-PBE
State: relaxed

abc: 5.6519 5.6519 5.6519
angles: 90.00 90.00 90.00
Closest atoms and distances in Å follow each position.
Fractional positions:
Zr (0.0000, 0.0000, 0.0000)  12 Ni 3.16, 12 Be 3.16
Zr (0.5000, 0.5000, 0.5000)  12 Ni 3.16, 12 Be 3.16
Be (0.0000, 0.2500, 0.5000)  4 Ni 2.00
Be (0.0000, 0.7500, 0.5000)  4 Ni 2.00
Be (0.2500, 0.5000, 0.0000)  4 Ni 2.00
Be (0.5000, 0.0000, 0.2500)  4 Ni 2.00
Be (0.5000, 0.0000, 0.7500)  4 Ni 2.00
Be (0.7500, 0.5000, 0.0000)  4 Ni 2.00
Ni (0.0000, 0.5000, 0.2500)  4 Be 2.00
Ni (0.0000, 0.5000, 0.7500)  4 Be 2.00
Ni (0.2500, 0.0000, 0.5000)  4 Be 2.00
Ni (0.5000, 0.2500, 0.0000)  4 Be 2.00
Ni (0.5000, 0.7500, 0.0000)  4 Be 2.00
Ni (0.7500, 0.0000, 0.5000)  4 Be 2.00

Computed properties:
space-group type = No. 223



# 13
Material: ZrBeNi3
Method: DFT, GGA-PBE
State: relaxed

abc: 4.5525 4.5525 4.5525
angles: 90.00 90.00 90.00
Closest atoms and distances in Å follow each position.
Fractional positions:
Zr (0.0000, 0.0000, 0.0000)  6 Ni 2.28
Be (0.5000, 0.5000, 0.5000)  12 Ni 3.22
Ni (0.0000, 0.0000, 0.5000)  2 Zr 2.28
Ni (0.0000, 0.5000, 0.0000)  2 Zr 2.28
Ni (0.5000, 0.0000, 0.0000)  2 Zr 2.28

Computed properties:
space-group type = No. 221
relative energy among the computed polymorphs = 1626.2 meV per atom



# 14
Material: ZrBe2Ni
Method: DFT, GGA-PBE
State: relaxed

abc: 2.8365 2.8365 6.1668
angles: 90.00 90.00 90.00
Closest atoms and distances in Å follow each position.
Fractional positions:
Zr (0.0000, 0.0000, 0.0000)  4 Ni 2.78, 5 Be 2.81-3.05, 4 Zr 2.84
Be (0.0000, 0.0000, 0.5053)  4 Ni 2.30, 4 Be 2.31
Be (0.5000, 0.5000, 0.3190)  1 Ni 2.28, 4 Be 2.31
Ni (0.5000, 0.5000, 0.6883)  5 Be 2.28-2.30

Computed properties:
space-group type = No. 99



# 15
Material: Zr2BeNi3
Method: DFT, GGA-PBE
State: relaxed

abc: 4.9664 4.9664 7.7311
angles: 90.00 90.00 120.00
Closest atoms and distances in Å follow each position.
Fractional positions:
Zr (0.3333, 0.6667, 0.0544)  9 Ni 2.76-2.91, 3 Be 2.90, 4 Zr 2.99-3.02
Zr (0.3333, 0.6667, 0.4456)  9 Ni 2.76-2.91, 3 Be 2.90, 4 Zr 2.99-3.02
Zr (0.6667, 0.3333, 0.5544)  9 Ni 2.76-2.91, 3 Be 2.90, 4 Zr 2.99-3.02
Zr (0.6667, 0.3333, 0.9456)  9 Ni 2.76-2.91, 3 Be 2.90, 4 Zr 2.99-3.02
Be (0.0000, 0.0000, 0.0000)  6 Ni 2.40
Be (0.0000, 0.0000, 0.5000)  6 Ni 2.40
Ni (0.1651, 0.3301, 0.7500)  2 Be 2.40, 4 Ni 2.46-2.51
Ni (0.1651, 0.8349, 0.7500)  2 Be 2.40, 4 Ni 2.46-2.51
Ni (0.3301, 0.1651, 0.2500)  2 Be 2.40, 4 Ni 2.46-2.51
Ni (0.6699, 0.8349, 0.7500)  2 Be 2.40, 4 Ni 2.46-2.51
Ni (0.8349, 0.1651, 0.2500)  2 Be 2.40, 4 Ni 2.46-2.51
Ni (0.8349, 0.6699, 0.2500)  2 Be 2.40, 4 Ni 2.46-2.51

Computed properties:
space-group type = No. 194



# 16
Material: ZrBe3Ni
Method: DFT, GGA-PBE
State: relaxed

abc: 3.9501 3.9501 3.9501
angles: 90.00 90.00 90.00
Closest atoms and distances in Å follow each position.
Fractional positions:
Zr (0.0000, 0.0000, 0.0000)  12 Be 2.79
Be (0.0000, 0.5000, 0.5000)  2 Ni 1.98
Be (0.5000, 0.0000, 0.5000)  2 Ni 1.98
Be (0.5000, 0.5000, 0.0000)  2 Ni 1.98
Ni (0.5000, 0.5000, 0.5000)  6 Be 1.98

Computed properties:
space-group type = No. 221
relative energy among the computed polymorphs = 0.0 meV per atom



# 17
Material: ZrBe2Ni
Method: DFT, GGA-PBE
State: relaxed

abc: 3.5365 3.7732 3.9801
angles: 90.00 90.00 90.00
Closest atoms and distances in Å follow each position.
Fractional positions:
Zr (0.0000, 0.0000, 0.0000)  4 Ni 2.59, 8 Be 2.66-2.74
Be (0.0000, 0.5000, 0.5000)  4 Be 2.59, 4 Ni 2.66, 4 Zr 2.74
Be (0.5000, 0.0000, 0.5000)  4 Be 2.59, 4 Zr 2.66, 4 Ni 2.74
Ni (0.5000, 0.5000, 0.0000)  4 Zr 2.59, 8 Be 2.66-2.74

Computed properties:
space-group type = No. 47



# 18
Material: ZrBeNi4
Method: DFT, GGA-PBE
State: relaxed

abc: 4.7377 4.7377 4.7377
angles: 60.00 60.00 60.00
Closest atoms and distances in Å follow each position.
Fractional positions:
Zr (0.0000, 0.0000, 0.0000)  12 Ni 2.78, 4 Be 2.90
Be (0.2500, 0.2500, 0.2500)  12 Ni 2.78, 4 Zr 2.90
Ni (0.1284, 0.6239, 0.6239)  6 Ni 2.35-2.39
Ni (0.6239, 0.1284, 0.6239)  6 Ni 2.35-2.39
Ni (0.6239, 0.6239, 0.1284)  6 Ni 2.35-2.39
Ni (0.6239, 0.6239, 0.6239)  6 Ni 2.35-2.39

Computed properties:
space-group type = No. 216



# 19
Material: ZrBe2Ni
Method: DFT, GGA-PBE
State: relaxed

abc: 3.6374 3.6374 13.3277
angles: 90.00 90.00 120.00
Closest atoms and distances in Å follow each position.
Fractional positions:
Zr (0.0000, 0.0000, 0.0000)  8 Be 2.70-2.73
Zr (0.3333, 0.6667, 0.6667)  8 Be 2.70-2.73
Zr (0.6667, 0.3333, 0.3333)  8 Be 2.70-2.73
Be (0.0000, 0.0000, 0.2028)  3 Ni 2.15, 3 Be 2.31
Be (0.0000, 0.0000, 0.7972)  3 Ni 2.15, 3 Be 2.31
Be (0.3333, 0.6667, 0.4639)  3 Ni 2.15, 3 Be 2.31
Be (0.3333, 0.6667, 0.8695)  3 Ni 2.15, 3 Be 2.31
Be (0.6667, 0.3333, 0.1305)  3 Ni 2.15, 3 Be 2.31
Be (0.6667, 0.3333, 0.5361)  3 Ni 2.15, 3 Be 2.31
Ni (0.0000, 0.0000, 0.5000)  6 Be 2.15
Ni (0.3333, 0.6667, 0.1667)  6 Be 2.15
Ni (0.6667, 0.3333, 0.8333)  6 Be 2.15

Computed properties:
space-group type = No. 166



# 20
Material: ZrBe9Ni2
Method: DFT, GGA-PBE
State: relaxed

abc: 7.3177 7.3177 7.3177
angles: 34.61 34.61 34.61
Closest atoms and distances in Å follow each position.
Fractional positions:
Zr (0.0000, 0.0000, 0.0000)  6 Be 2.51
Be (0.0838, 0.5905, 0.5905)  7 Be 2.06-2.24
Be (0.3323, 0.3323, 0.3323)  6 Be 2.18-2.24
Be (0.4095, 0.4095, 0.9162)  7 Be 2.06-2.24
Be (0.4095, 0.9162, 0.4095)  7 Be 2.06-2.24
Be (0.5000, 0.5000, 0.5000)  6 Be 2.06
Be (0.5905, 0.0838, 0.5905)  7 Be 2.06-2.24
Be (0.5905, 0.5905, 0.0838)  7 Be 2.06-2.24
Be (0.6677, 0.6677, 0.6677)  6 Be 2.18-2.24
Be (0.9162, 0.4095, 0.4095)  7 Be 2.06-2.24
Ni (0.1413, 0.1413, 0.1413)  12 Be 2.44-2.57, 3 Ni 2.72
Ni (0.8587, 0.8587, 0.8587)  12 Be 2.44-2.57, 3 Ni 2.72

Computed properties:
space-group type = No. 166
relative energy among the computed polymorphs = 50.0 meV per atom



Size of the total moment values, unit μB per formula unit, following the record order: 0.00, 1.58, 0.00, 0.00, 0.00, 0.00, 0.00, 0.00, 0.00, 0.00, 0.00, 0.00, 0.00, 0.00, 0.00, 0.00, 0.00, 0.00, 0.00, 0.00.
Density of states at the Fermi level values, unit states/eV/atom, following the record order: 0.619, 0.766, 0.869, 0.511, 0.670, 0.382, 0.236, 0.352, 0.476, 0.617, 0.299, 0.914, 0.549, 0.539, 1.185, 0.145, 0.664, 0.485, 0.755, 0.458.
Energy of formation from the pure elements values, unit meV per atom, following the record order: -194, 100, -178, -354, 58, -115, -230, -214, -196, -257, -351, 229, 1475, -121, -399, -85, 36, -285, -303, -241.